{"formula": "ScTa2Ag", "functional": "PBE-GGA", "state": "optimized geometry", "cell": [[-2.2270, -3.6300, -3.7884], [2.8355, -4.8693, -0.8591], [-2.8713, 3.3772, 3.5830]], "species": ["Ta", "Ta", "Ag", "Sc"], "frac_coords": [[0.7523, 0.2523, 0.5000], [0.9863, 0.9863, 0.0000], [0.5070, 0.5070, 0.0000], [0.2545, 0.7545, 0.5000]], "ef_ev_per_atom": 0.2905, "dos_ef_per_ev_cell": 3.71, "dft_energy_ev_per_fu": -31.726, "de_polymorph_mev_per_atom": 191.2}



{"formula": "NaPu3Au4", "functional": "PBE-GGA", "state": "optimized geometry", "cell": [[-1.5915, 2.6827, -0.1955], [-3.7850, -1.9997, 3.3752], [5.5437, 3.9106, 8.5338]], "species": ["Au", "Au", "Au", "Au", "Pu", "Pu", "Pu", "Na"], "frac_coords": [[0.0000, 0.5000, 0.7496], [0.0000, 0.0000, 0.0000], [0.0000, 0.5000, 0.2504], [0.0000, 0.0000, 0.5000], [0.5000, 0.0000, 0.7522], [0.5000, 0.0000, 0.2478], [0.5000, 0.5000, 0.5000], [0.5000, 0.5000, 0.0000]], "ef_ev_per_atom": -0.3785, "dos_ef_per_ev_cell": 26.62, "dft_energy_ev_per_fu": -60.453}



{"formula": "Pr6Ge2PtBr3", "functional": "PBE-GGA", "state": "optimized geometry", "cell": [[4.2642, 0.0000, 0.0000], [0.0000, 8.9886, 0.2986], [-2.1321, -2.6088, 9.2477]], "species": ["Pr", "Pr", "Pr", "Pr", "Pr", "Pr", "Ge", "Ge", "Br", "Br", "Br", "Pt"], "frac_coords": [[0.6742, 0.5665, 0.3485], [0.3258, 0.4335, 0.6515], [0.0068, 0.2212, 0.0136], [0.3401, 0.8963, 0.6802], [0.9932, 0.7788, 0.9864], [0.6599, 0.1037, 0.3198], [0.8336, 0.6640, 0.6671], [0.1664, 0.3360, 0.3329], [0.5000, 0.5000, 0.0000], [0.8305, 0.1674, 0.6609], [0.1695, 0.8326, 0.3391], [0.5000, 0.0000, 0.0000]], "e_form_raw_ev_per_atom": -1.16, "dos_ef_per_ev_cell": 6.99, "dft_energy_ev_per_fu": -62.891}



{"formula": "CaLuAgRh", "functional": "PBE-GGA", "state": "optimized geometry", "cell": [[-4.1985, -2.3517, 1.0943], [-1.8792, -3.2932, -3.1589], [0.0817, -4.8082, 1.1090]], "species": ["Ca", "Ag", "Lu", "Rh"], "frac_coords": [[0.5000, 0.5000, 0.5000], [0.2500, 0.2500, 0.2500], [0.0000, 0.0000, 0.0000], [0.7500, 0.7500, 0.7500]], "ef_ev_per_atom": -0.4590, "dos_ef_per_ev_cell": 3.92, "dft_energy_ev_per_fu": -18.561}



{"formula": "Li3Tl2Ag", "functional": "PBE-GGA", "state": "optimized geometry", "cell": [[-1.5475, -0.3703, -2.9001], [-1.9032, -2.3632, 1.3173], [-7.0698, 7.2785, 2.8430]], "species": ["Li", "Li", "Li", "Ag", "Tl", "Tl"], "frac_coords": [[0.0000, 0.0000, 0.0000], [0.0000, 0.0000, 0.6420], [0.0000, 0.0000, 0.3580], [0.5000, 0.5000, 0.5000], [0.5000, 0.5000, 0.8165], [0.5000, 0.5000, 0.1835]], "ef_ev_per_atom": -0.2247, "dos_ef_per_ev_cell": 1.11, "dft_energy_ev_per_fu": -14.674, "de_polymorph_mev_per_atom": 0.0}



{"formula": "Ac2SmBi3", "functional": "PBE-GGA", "state": "optimized geometry", "cell": [[-3.6184, 5.6347, -4.8575], [6.5965, -3.1576, -3.8671], [-9.7342, -11.4618, -1.3548]], "species": ["Bi", "Bi", "Bi", "Bi", "Bi", "Bi", "Bi", "Bi", "Bi", "Bi", "Bi", "Bi", "Sm", "Sm", "Sm", "Sm", "Ac", "Ac", "Ac", "Ac", "Ac", "Ac", "Ac", "Ac"], "frac_coords": [[0.2362, 0.2362, 0.0000], [0.1652, 0.6772, 0.8287], [0.7638, 0.7638, 0.0000], [0.5865, 0.5985, 0.6713], [0.8485, 0.3365, 0.1713], [0.3228, 0.8348, 0.1713], [0.0848, 0.0728, 0.6713], [0.4862, 0.9862, 0.5000], [0.4015, 0.4135, 0.3287], [0.0138, 0.5138, 0.5000], [0.6635, 0.1515, 0.8287], [0.9272, 0.9152, 0.3287], [0.9164, 0.9164, 0.8327], [0.3336, 0.8336, 0.6673], [0.0836, 0.0836, 0.1673], [0.1664, 0.6664, 0.3327], [0.2516, 0.2516, 0.5031], [0.9984, 0.4984, 0.9969], [0.5821, 0.5821, 0.1643], [0.4179, 0.4179, 0.8357], [0.5016, 0.0016, 0.0031], [0.7484, 0.7484, 0.4969], [0.6679, 0.1679, 0.3357], [0.8321, 0.3321, 0.6643]], "ef_ev_per_atom": -0.9630, "dos_ef_per_ev_cell": 2.99, "dft_energy_ev_per_fu": -30.357, "de_polymorph_mev_per_atom": 0.0}